DFT (PBE) results for an optimized crystal structure of TaCuNi2.

CIF file:
```
data_TaCuNi2
_cell_length_a 2.7441
_cell_length_b 3.3536
_cell_length_c 5.6043
_cell_angle_alpha 90.00
_cell_angle_beta 90.00
_cell_angle_gamma 90.00
_symmetry_space_group_name_H-M 'P m m m'
_symmetry_Int_Tables_number 47
loop_
_symmetry_equiv_pos_as_xyz
'x,y,z'
'-x,-y,-z'
'-x,-y,z'
'x,y,-z'
'x,-y,-z'
'-x,y,z'
'-x,y,-z'
'x,-y,z'
loop_
_atom_site_label
_atom_site_fract_x
_atom_site_fract_y
_atom_site_fract_z
Ta1 0.0000 0.0000 0.0000
Cu1 0.0000 0.0000 0.5000
Ni1 0.5000 0.5000 0.2711
```

## Properties
- E_form (meV/atom) = -141
- energy (eV/atom) = -7.018
- D(E_F) (states/eV per atom) = 0.4919